1.
Entry from Alexandria: crystalline YZrBeZn at its relaxed geometry (PBE).

a = 4.7784 Å, b = 4.7784 Å, c = 4.7784 Å
α = 60.00°, β = 60.00°, γ = 60.00°
Element x y z (fractional)
Y  0.0000  0.0000  0.0000
Zr  0.5000  0.5000  0.5000
Be  0.7500  0.7500  0.7500
Zn  0.2500  0.2500  0.2500

Results
* space group: No. 216
* ΔE_f: -6 kJ per mole of atoms
* crystal system: cubic



2.
Entry from Alexandria: crystalline Ac4La15Tl at its relaxed geometry (PBE).

a = 5.3059 Å, b = 5.3059 Å, c = 26.4319 Å
α = 90.00°, β = 90.00°, γ = 90.00°
Element x y z (fractional)
Ac  0.0000  0.0000  0.1014
Ac  0.0000  0.0000  0.3056
Ac  0.0000  0.0000  0.6944
Ac  0.0000  0.0000  0.8986
La  0.0000  0.5000  0.0000
La  0.0000  0.5000  0.2048
La  0.0000  0.5000  0.4066
La  0.0000  0.5000  0.5934
La  0.0000  0.5000  0.7952
La  0.5000  0.0000  0.0000
La  0.5000  0.0000  0.2048
La  0.5000  0.0000  0.4066
La  0.5000  0.0000  0.5934
La  0.5000  0.0000  0.7952
La  0.5000  0.5000  0.1019
La  0.5000  0.5000  0.3067
La  0.5000  0.5000  0.5000
La  0.5000  0.5000  0.6933
La  0.5000  0.5000  0.8981
Tl  0.0000  0.0000  0.5000

Results
* space group: No. 123
* ΔE_f: -3 kJ per mole of atoms
* crystal system: tetragonal



3.
Entry from Alexandria: crystalline Nb6AsC2 at its relaxed geometry (PBE).

a = 5.6003 Å, b = 5.6003 Å, c = 7.4385 Å
α = 116.90°, β = 116.90°, γ = 46.76°
Element x y z (fractional)
Nb  0.0275  0.0275  0.1946
Nb  0.3120  0.3120  0.9162
Nb  0.3412  0.3412  0.4276
Nb  0.6588  0.6588  0.5724
Nb  0.6880  0.6880  0.0838
Nb  0.9725  0.9725  0.8054
As  0.0000  0.0000  0.5000
C  0.1900  0.1900  0.0887
C  0.8100  0.8100  0.9113

Results
* space group: No. 12
* ΔE_f: -13 kJ per mole of atoms
* crystal system: monoclinic



4.
Entry from Alexandria: crystalline MnHgRh2C at its relaxed geometry (PBE).

a = 4.1448 Å, b = 4.1448 Å, c = 4.0466 Å
α = 90.00°, β = 90.00°, γ = 90.00°
Element x y z (fractional)
Mn  0.0000  0.0000  0.0000
Hg  0.5000  0.5000  0.0000
Rh  0.0000  0.5000  0.5000
Rh  0.5000  0.0000  0.5000
C  0.0000  0.0000  0.5000

Results
* space group: No. 123
* ΔE_f: 8 kJ per mole of atoms
* crystal system: tetragonal